Compound: Tm3Mg3InPd2
Source: OQMD
Functional: PBE
Structure: relaxed

Properties
spin magnetization	0.014	μB/f.u.
raw total energy	-3.982	eV per atom

a b c (Å): 7.2791 7.2791 4.3893
angles (deg): 90.00 90.00 120.00
With the nearest neighbours (Å) after each atom.
Fractional positions:
In (0.0000, 0.0000, 0.0000)  6 Mg 2.87, 3 Tm 3.12
Mg (0.7450, 0.0000, 0.5000)  2 Pd 2.76, 2 In 2.87
Mg (0.2550, 0.2550, 0.5000)  2 Pd 2.76, 2 In 2.87
Mg (0.0000, 0.7450, 0.5000)  2 Pd 2.76, 2 In 2.87
Pd (0.6667, 0.3333, 0.5000)  3 Mg 2.76, 6 Tm 3.08
Pd (0.3333, 0.6667, 0.5000)  3 Mg 2.76, 6 Tm 3.08
Tm (0.4289, 0.0000, 0.0000)  4 Pd 3.08, 1 In 3.12, 2 Mg 3.18
Tm (0.0000, 0.4289, 0.0000)  4 Pd 3.08, 1 In 3.12, 2 Mg 3.18
Tm (0.5711, 0.5711, 0.0000)  4 Pd 3.08, 1 In 3.12, 2 Mg 3.18